(1)
TlGeBrF2 PBE relaxed; energy relative to the elements, uncorrected = -1455 meV/atom; symmetry = P4/mmm, No. 123; distance to the lowest polymorph of the same formula = 116 meV/atom; D(E_F) = 0.0 states/eV/f.u.
1.0
4.5065 0.0000 0.0000
0.0000 4.5065 0.0000
0.0000 0.0000 5.7693
Ge F Br Tl
1 2 1 1
direct
0.0000 0.0000 0.0000
0.5000 0.0000 0.0000
0.0000 0.5000 0.0000
0.0000 0.0000 0.5000
0.5000 0.5000 0.5000

=====

(2)
GeRuS3 PBE relaxed; energy relative to the elements, uncorrected = 422 meV/atom; symmetry = Pm-3m, No. 221; distance to the lowest polymorph of the same formula = 0 meV/atom; D(E_F) = 7.0 states/eV/f.u.
1.0
4.6540 0.0000 0.0000
0.0000 4.6540 0.0000
0.0000 0.0000 4.6540
S Ru Ge
3 1 1
direct
0.5000 0.0000 0.0000
0.0000 0.5000 0.0000
0.0000 0.0000 0.5000
0.0000 0.0000 0.0000
0.5000 0.5000 0.5000

=====

(3)
NbAlRh2 PBE relaxed; energy relative to the elements = -599 meV/atom; symmetry = P4/mmm, No. 123; D(E_F) = 3.3 states/eV/f.u.
1.0
2.9407 0.0000 0.0000
0.0000 4.5505 0.0000
0.0000 0.0000 4.5505
Rh Al Nb
2 1 1
direct
0.0000 0.0000 0.5000
0.0000 0.5000 0.0000
0.5000 0.0000 0.0000
0.5000 0.5000 0.5000

=====

(4)
ZrHRh PBE relaxed; total DFT energy (no corrections) = -6.97 eV per atom; symmetry = C2/c, No. 15; D(E_F) = 1.8 states/eV/f.u.
1.0
4.7233 -0.0050 -0.0041
2.3564 4.1240 0.1529
2.3565 1.0632 3.9872
Zr Rh H
2 2 2
direct
0.9608 0.7678 0.9547
0.4607 0.2678 0.4548
0.7107 0.5679 0.6548
0.2108 0.9677 0.2548
0.4608 0.2678 0.9548
0.9608 0.2678 0.9548

=====

(5)
SiOs3N PBE relaxed; energy relative to the elements, uncorrected = 767 meV/atom; symmetry = Pm-3m, No. 221; distance to the lowest polymorph of the same formula = 0 meV/atom; D(E_F) = 3.7 states/eV/f.u.
1.0
4.0304 0.0000 0.0000
0.0000 4.0304 0.0000
0.0000 0.0000 4.0304
Os N Si
3 1 1
direct
0.5000 0.0000 0.0000
0.0000 0.5000 0.0000
0.0000 0.0000 0.5000
0.0000 0.0000 0.0000
0.5000 0.5000 0.5000

=====

(6)
CoHAuBr2 PBE relaxed; total DFT energy (no corrections) = -2.70 eV per atom; symmetry = P4/mmm, No. 123; D(E_F) = 8.7 states/eV/f.u.
1.0
-0.2487 -4.9714 -1.6892
0.8942 -1.1130 3.1438
-5.0710 -0.2110 1.3677
H Au Br Co
1 1 2 1
direct
0.0000 0.0000 0.0000
0.0000 0.5000 0.0000
0.0000 0.0000 0.5000
0.5000 0.0000 0.0000
0.5000 0.5000 0.5000

=====

(7)
DyMgF PBE relaxed; energy relative to the elements, uncorrected = -1441 meV/atom; symmetry = Amm2, No. 38; D(E_F) = 2.3 states/eV/f.u.
1.0
-2.9663 0.5486 1.8128
-0.0812 -1.8555 -2.9878
2.2681 -11.8510 7.2981
Mg F Dy
2 2 2
direct
0.3669 0.7338 0.5000
0.4601 0.9202 0.0000
0.7936 0.5872 0.7255
0.7936 0.5872 0.2745
0.1262 0.2524 0.1878
0.1262 0.2524 0.8122

=====

(8)
K2RbNaI PBE relaxed; energy relative to the elements, uncorrected = -428 meV/atom; symmetry = P4/mmm, No. 123; distance to the lowest polymorph of the same formula = 52 meV/atom; D(E_F) = 2.6 states/eV/f.u.
1.0
-0.8508 1.5207 -6.8116
2.0091 -6.5182 -1.7061
-6.2307 -2.0069 0.3302
K Na Rb I
2 1 1 1
direct
0.0000 0.5000 0.0000
0.5000 0.0000 0.0000
0.0000 0.0000 0.5000
0.5000 0.5000 0.5000
0.0000 0.0000 0.0000

=====

(9)
Cs2CaPaSe4 PBE relaxed; energy relative to the elements, uncorrected = -1526 meV/atom; symmetry = P2/m, No. 10; D(E_F) = 5.4 states/eV/f.u.
1.0
-1.0667 -3.4605 2.4496
-2.4485 -3.6026 -6.1556
8.4547 -1.9777 0.8876
Cs Se Pa Ca
2 4 1 1
direct
0.0000 0.5000 0.5000
0.5000 0.0000 0.5000
0.5000 0.2178 0.1865
0.5000 0.7822 0.8135
0.0000 0.2555 0.8146
0.0000 0.7445 0.1854
0.0000 0.0000 0.0000
0.5000 0.5000 0.0000

=====

(10)
Pr5Zn4Cu PBE relaxed; energy relative to the elements = -264 meV/atom; symmetry = P4/mmm, No. 123; D(E_F) = 10.2 states/eV/f.u.
1.0
3.7023 0.0000 0.0000
0.0000 3.7023 0.0000
0.0000 0.0000 18.4453
Zn Pr Cu
4 5 1
direct
0.0000 0.0000 0.8012
0.0000 0.0000 0.3985
0.0000 0.0000 0.1988
0.0000 0.0000 0.6015
0.5000 0.5000 0.9033
0.5000 0.5000 0.7024
0.5000 0.5000 0.2976
0.5000 0.5000 0.5000
0.5000 0.5000 0.0967
0.0000 0.0000 0.0000

=====

(11)
LaBAs3 PBE relaxed; energy relative to the elements = -39 meV/atom; symmetry = Pm-3m, No. 221; distance to the lowest polymorph of the same formula = 0 meV/atom; D(E_F) = 3.1 states/eV/f.u.
1.0
-1.5085 -0.5137 4.3229
4.0285 -1.8989 1.1801
1.6501 4.1662 1.0709
La B As
1 1 3
direct
0.5000 0.5000 0.5000
0.0000 0.0000 0.0000
0.0000 0.5000 0.0000
0.5000 0.0000 0.0000
0.0000 0.0000 0.5000

=====

(12)
ReHgBr2 PBE relaxed; energy relative to the elements, uncorrected = 1181 meV/atom; symmetry = I-4m2, No. 119; distance to the lowest polymorph of the same formula = 890 meV/atom; D(E_F) = 3.2 states/eV/f.u.
1.0
-2.8322 -5.9868 -2.0821
2.8434 -5.5421 -3.0656
0.5341 4.6079 5.1652
Re Br Hg
1 2 1
direct
0.7500 0.2500 0.5000
0.0000 0.0000 0.0000
0.2500 0.7500 0.5000
0.5000 0.5000 0.0000